Compound: LaPuNiGe
Source: Alexandria
Functional: PBE
Structure: optimized geometry

POSCAR file:
```
LaPuNiGe
1.0
0.000 3.582 3.582
3.582 0.000 3.582
3.582 3.582 0.000
La Pu Ni Ge
1 1 1 1
Cartesian
0.000 0.000 0.000
3.582 3.582 3.582
1.791 1.791 1.791
5.374 5.374 5.374
```

space-group type: F-43m, No. 216
density of states at the Fermi level: 10.9 states/eV per cell
formation energy: -276 meV per atom


Compound: BeNb2AgI
Source: Alexandria
Functional: PBE
Structure: optimized geometry

POSCAR file:
```
BeNb2AgI
1.0
5.092 0.000 0.000
0.000 5.092 0.000
0.000 0.000 5.391
Be Nb Ag I
1 2 1 1
Cartesian
0.000 0.000 0.000
0.000 2.546 2.696
2.546 0.000 2.696
2.546 2.546 2.696
2.546 2.546 0.000
```

space-group type: P4/mmm, No. 123
formation energy (no corrections): 209.9 kJ per mole of atoms
density of states at the Fermi level: 4.9 states/eV per cell


Question: Among the records above, which one has the lowest density of states at the Fermi level?
Answer: BeNb2AgI


Please write out number 1 again, unchanged.
Compound: LaPuNiGe
Source: Alexandria
Functional: PBE
Structure: optimized geometry

POSCAR file:
```
LaPuNiGe
1.0
0.000 3.582 3.582
3.582 0.000 3.582
3.582 3.582 0.000
La Pu Ni Ge
1 1 1 1
Cartesian
0.000 0.000 0.000
3.582 3.582 3.582
1.791 1.791 1.791
5.374 5.374 5.374
```

space-group type: F-43m, No. 216
density of states at the Fermi level: 10.9 states/eV per cell
formation energy: -276 meV per atom


Question: The highest density of states at the Fermi level belongs to which entry?
Answer: LaPuNiGe